This record from the Alexandria database describes a relaxed HfFe2P crystal. The functional is GGA-PBE.

Properties
Formation energy from the elements (meV per atom): -106

```
8
Lattice="-3.332 3.332 2.606 3.332 -3.332 2.606 3.332 3.332 -2.606" Properties=species:S:1:pos:R:3 pbc="T T T"
Hf 0.000 0.000 0.000
Hf 0.000 3.332 1.303
Fe 1.666 -1.129 1.954
Fe 2.204 1.666 0.651
Fe 1.666 4.461 -0.651
Fe 1.129 1.666 3.257
P 3.332 0.000 1.303
P 0.000 0.000 2.606
```

This record from the Alexandria database describes a relaxed Pr7Ho2Tm3 crystal. The functional is GGA-PBE.

Properties
ΔE to the lowest computed polymorph (meV per atom): 174.3
Formation energy from the elements (meV per atom): 278

```
12
Lattice="6.343 0.000 0.000 0.000 5.532 0.000 -0.045 0.000 12.315" Properties=species:S:1:pos:R:3 pbc="T T T"
Pr 0.000 0.000 0.000
Pr 0.550 2.766 10.185
Pr 1.539 2.766 6.702
Pr 2.791 0.000 10.025
Pr 3.507 0.000 2.290
Pr 4.759 2.766 5.613
Pr 5.748 2.766 2.130
Ho 2.404 2.766 3.384
Ho 3.894 2.766 8.931
Tm 0.418 0.000 4.245
Tm 3.171 2.766 0.000
Tm 5.880 0.000 8.070
```

This record from the Alexandria database describes a relaxed Pm3AgB4O12 crystal. The functional is GGA-PBE.

Properties
Raw total energy (eV per atom): -7.65

```
20
Lattice="5.216 3.011 2.928 -5.216 3.011 2.928 0.000 -6.022 2.928" Properties=species:S:1:pos:R:3 pbc="T T T"
Pm -2.754 -1.253 2.928
Pm 2.462 -1.758 2.928
Pm 0.292 3.011 2.928
Ag 0.000 0.000 0.000
B -2.475 -4.287 4.392
B 0.000 0.000 4.392
B -2.475 4.287 4.392
B 4.950 0.000 4.392
O -3.149 -3.082 4.347
O -4.113 0.000 4.392
O -1.095 -4.268 4.437
O -1.383 0.000 4.392
O -3.149 3.082 4.437
O 2.056 -3.562 4.392
O 0.692 -1.198 4.392
O -1.095 4.268 4.347
O 0.692 1.198 4.392
O 4.244 -1.186 4.347
O 2.056 3.562 4.392
O 4.244 1.186 4.437
```

This record from the Alexandria database describes a relaxed CsPtS2 crystal. The functional is GGA-PBE.

Properties
ΔE to the lowest computed polymorph (meV per atom): 30.4

```
8
Lattice="4.770 -6.723 0.000 4.770 6.723 0.000 -4.425 0.000 4.763" Properties=species:S:1:pos:R:3 pbc="T T T"
Cs 1.451 5.270 3.572
Cs 3.664 -5.270 1.191
Pt 3.664 3.333 1.191
Pt 1.451 -3.333 3.572
S -2.057 1.840 4.747
S 0.156 -1.840 2.366
S 4.959 1.840 2.398
S 7.172 -1.840 0.016
```

This record from the Alexandria database describes a relaxed Cd2CuAg5 crystal. The functional is GGA-PBE.

Properties
Formation energy from the elements (meV per atom): 6

```
16
Lattice="7.807 0.000 0.000 0.000 12.041 0.000 0.000 0.000 3.073" Properties=species:S:1:pos:R:3 pbc="T T T"
Cd 1.828 1.464 0.000
Cd 2.076 7.484 0.000
Cd 5.731 4.557 0.000
Cd 5.979 10.578 0.000
Cu 0.000 0.000 1.537
Cu 3.903 6.021 1.537
Ag 0.000 6.021 1.537
Ag 0.008 3.113 1.537
Ag 1.813 10.585 0.000
Ag 2.091 4.565 0.000
Ag 3.896 9.134 1.537
Ag 3.903 0.000 1.537
Ag 3.911 2.907 1.537
Ag 5.716 7.477 0.000
Ag 5.994 1.456 0.000
Ag 7.799 8.928 1.537
```

This record from the Alexandria database describes a relaxed Ho7Mg4Sc crystal. The functional is GGA-PBE.

Properties
Formation energy from the elements (meV per atom): 172

```
12
Lattice="7.470 -2.822 0.000 7.470 2.822 0.000 -5.020 0.000 8.139" Properties=species:S:1:pos:R:3 pbc="T T T"
Ho 0.000 0.000 0.000
Ho 0.200 0.000 5.853
Ho 3.860 0.000 0.992
Ho 3.387 0.000 4.683
Ho 6.532 0.000 3.456
Ho 6.059 0.000 7.147
Ho 9.719 0.000 2.285
Mg -2.844 0.000 5.671
Mg 0.852 0.000 2.841
Mg 9.067 0.000 5.298
Mg 12.763 0.000 2.467
Sc 7.470 0.000 0.000
```

This record from the Alexandria database describes a relaxed Sc3TlN crystal. The functional is GGA-PBE.

Properties
Raw total energy (eV per atom): -6.79

```
10
Lattice="5.360 -2.296 0.000 5.360 2.296 0.000 -3.382 0.000 7.634" Properties=species:S:1:pos:R:3 pbc="T T T"
Sc 0.477 0.000 1.418
Sc -0.826 0.000 5.153
Sc 3.612 0.000 0.495
Sc 3.725 0.000 7.139
Sc 8.163 0.000 2.481
Sc 6.860 0.000 6.216
Tl 2.234 0.000 4.363
Tl 5.103 0.000 3.271
N -1.807 0.000 7.095
N 9.144 0.000 0.539
```

This record from the Alexandria database describes a relaxed Y2ScSbH crystal. The functional is GGA-PBE.

Properties
Raw total energy (eV per atom): -5.87

```
5
Lattice="4.725 0.000 0.000 0.000 4.725 0.000 0.000 0.000 4.617" Properties=species:S:1:pos:R:3 pbc="T T T"
Y 0.000 2.363 0.000
Y 2.363 0.000 0.000
Sc 0.000 0.000 2.309
Sb 2.363 2.363 2.309
H 0.000 0.000 0.000
```

Question: Which formula does entry 8 have?
Answer: Y2ScSbH

Question: Number 6 is which compound?
Answer: Ho7Mg4Sc